BeCrPt2 | PBE-GGA | optimized geometry

Cell and atoms, written as CIF:
```
data_BeCrPt2
_space_group_name_H-M_alt 'P 4/m m m'
_space_group_IT_number 123
_space_group_name_Hall '-P 4 2'
_cell_length_a 3.949
_cell_length_b 3.949
_cell_length_c 3.487
_cell_angle_alpha 90.00
_cell_angle_beta 90.00
_cell_angle_gamma 90.00
loop_
_atom_site_label
_atom_site_fract_x
_atom_site_fract_y
_atom_site_fract_z
Be1 0.000 0.000 0.000
Cr1 0.500 0.500 0.000
Pt1 0.000 0.500 0.500
```

Properties
Volume, Å³ per cell: 54.4
Total magnetization, μB/f.u.: 3.537
Electronic total energy, Ry per atom: -0.4917
Energy of formation, eV per atom: -0.332